! LiCoCuO4 | Alexandria | PBE+U | relaxed; values from VASP
&SYSTEM
  ibrav = 0, nat = 7, ntyp = 4
/
ATOMIC_SPECIES
Li 6.94 Li.upf
O 16.00 O.upf
Cu 63.55 Cu.upf
Co 58.93 Co.upf
CELL_PARAMETERS angstrom
-0.436 0.161 -2.813
2.683 -4.115 -0.651
-2.931 -4.378 0.204
ATOMIC_POSITIONS crystal
Li 0.500 0.500 0.000
O 0.000 0.759 0.715
O 0.500 0.250 0.698
O 0.500 0.750 0.302
O 0.000 0.241 0.285
Cu 0.000 0.500 0.500
Co 0.500 0.000 0.500
! Space group ... P2/m, No. 10
! Raw total energy ... -37.2 eV per cell
! Volume ... 69 Å³/cell